# 1
A plane-wave DFT calculation with GGA-PBE was carried out for a geometry-optimized ZrPa2Sb structure.

a b c (Å): 4.889 4.409 4.409
angles (deg): 90.00 90.00 90.00
Positions (direct):
Zr: 0.500 0.500 0.500
Pa: 0.000 0.500 0.000
Pa: 0.000 0.000 0.500
Sb: 0.500 0.000 0.000

Output
- Fermi-level density of states: 7.26 states/eV per cell
- Total moment: 0.00 μB/f.u.
- SG: No. 123
- Theoretical density: 11.80 Mg/m³
- E above lowest polymorph: 0.000 eV/atom
- Electronic total energy: -8.235 eV/atom

=====

# 2
A plane-wave DFT calculation with GGA-PBE was carried out for a geometry-optimized Cu2HgPd2 structure.

a b c (Å): 7.205 7.205 2.990
angles (deg): 90.00 90.00 90.00
Positions (direct):
Cu: 0.376 0.876 0.000
Cu: 0.124 0.376 0.000
Cu: 0.624 0.124 0.000
Cu: 0.876 0.624 0.000
Hg: 0.500 0.500 0.000
Hg: 0.000 0.000 0.000
Pd: 0.670 0.830 0.500
Pd: 0.830 0.330 0.500
Pd: 0.330 0.170 0.500
Pd: 0.170 0.670 0.500

Output
- Fermi-level density of states: 3.46 states/eV per cell
- Total moment: 0.00 μB/f.u.
- SG: No. 127
- Theoretical density: 11.56 Mg/m³
- E above lowest polymorph: 0.000 eV/atom
- Electronic total energy: -3.804 eV/atom
- Energy relative to the elements: -13 kJ/mol of formula units

=====

# 3
A plane-wave DFT calculation with GGA-PBE was carried out for a geometry-optimized LaPr2Si4 structure.

a b c (Å): 3.981 4.538 9.511
angles (deg): 103.80 102.08 90.00
Positions (direct):
Si: 0.066 0.566 0.132
Si: 0.934 0.434 0.868
Si: 0.645 0.645 0.289
Si: 0.355 0.355 0.711
Pr: 0.182 0.182 0.364
Pr: 0.818 0.818 0.636
La: 0.500 0.000 0.000

Output
- Fermi-level density of states: 5.12 states/eV per cell
- Total moment: 0.00 μB/f.u.
- SG: No. 71
- Theoretical density: 5.43 Mg/m³
- Electronic total energy: -5.908 eV/atom

=====

# 4
A plane-wave DFT calculation with GGA-PBE was carried out for a geometry-optimized LaPm4Bi5 structure.

a b c (Å): 4.608 6.511 12.177
angles (deg): 105.51 100.91 90.00
Positions (direct):
Bi: 0.200 0.700 0.399
Bi: 0.000 0.500 0.000
Bi: 0.800 0.300 0.601
Bi: 0.602 0.102 0.205
Bi: 0.398 0.898 0.795
La: 0.000 0.000 0.000
Pm: 0.600 0.600 0.201
Pm: 0.400 0.400 0.799
Pm: 0.799 0.799 0.597
Pm: 0.201 0.201 0.403

Output
- Fermi-level density of states: 2.09 states/eV per cell
- Total moment: 0.00 μB/f.u.
- SG: No. 71
- Theoretical density: 8.48 Mg/m³
- Electronic total energy: -5.296 eV/atom
- Energy relative to the elements: -929 kJ/mol of formula units

=====

# 5
A plane-wave DFT calculation with GGA-PBE was carried out for a geometry-optimized Rb2CrGa structure.

a b c (Å): 13.200 13.200 9.659
angles (deg): 46.90 46.90 90.00
Positions (direct):
Ga: 0.000 0.000 0.000
Ga: 0.750 0.250 0.500
Rb: 0.375 0.555 0.750
Rb: 0.445 0.125 0.250
Rb: 0.305 0.625 0.250
Rb: 0.875 0.695 0.750
Cr: 0.250 0.750 0.500
Cr: 0.500 0.500 0.000

Output
- Fermi-level density of states: 5.89 states/eV per cell
- Total moment: 3.87 μB/f.u.
- SG: No. 122
- Theoretical density: 2.24 Mg/m³
- Electronic total energy: -3.050 eV/atom
- Energy relative to the elements: 230 kJ/mol of formula units

=====

# 6
A plane-wave DFT calculation with GGA-PBE was carried out for a geometry-optimized CuPRu2 structure.

a b c (Å): 2.722 2.722 8.457
angles (deg): 90.00 90.00 118.30
Positions (direct):
Cu: 0.000 0.000 0.514
P: 0.500 0.500 0.756
Ru: 0.500 0.500 0.251
Ru: 0.000 0.000 0.980

Output
- Fermi-level density of states: 4.14 states/eV per cell
- Total moment: 0.54 μB/f.u.
- SG: No. 35
- Theoretical density: 8.93 Mg/m³
- Electronic total energy: -6.651 eV/atom
- Energy relative to the elements: 140 kJ/mol of formula units

=====

# 7
A plane-wave DFT calculation with GGA-PBE was carried out for a geometry-optimized Sm2SbRh structure.

a b c (Å): 4.268 4.268 7.472
angles (deg): 73.40 73.40 60.00
Positions (direct):
Sm: 0.741 0.741 0.778
Sm: 0.259 0.259 0.222
Rh: 0.000 0.000 0.000
Sb: 0.500 0.500 0.500

Output
- Fermi-level density of states: 1.31 states/eV per cell
- Total moment: 0.00 μB/f.u.
- SG: No. 166
- Theoretical density: 7.84 Mg/m³
- Electronic total energy: -5.966 eV/atom

=====

# 8
A plane-wave DFT calculation with GGA-PBE was carried out for a geometry-optimized GdHo5 structure.

a b c (Å): 4.999 4.994 7.901
angles (deg): 108.42 90.00 90.00
Positions (direct):
Ho: 0.000 0.332 0.664
Ho: 0.500 0.833 0.666
Ho: 0.500 0.167 0.334
Ho: 0.500 0.500 0.000
Ho: 0.000 0.668 0.336
Gd: 0.000 0.000 0.000

Output
- Fermi-level density of states: 8.43 states/eV per cell
- Total moment: 7.18 μB/f.u.
- SG: No. 65
- Theoretical density: 8.71 Mg/m³
- Electronic total energy: -6.144 eV/atom
- Energy relative to the elements: 10 kJ/mol of formula units

=====

# 9
A plane-wave DFT calculation with GGA-PBE was carried out for a geometry-optimized FeMoW2 structure.

a b c (Å): 2.705 2.705 8.662
angles (deg): 90.00 90.00 108.44
Positions (direct):
Mo: 0.500 0.500 0.750
Fe: 0.500 0.500 0.250
W: 0.000 0.000 0.488
W: 0.000 0.000 0.012

Output
- Fermi-level density of states: 2.75 states/eV per cell
- Total moment: 2.03 μB/f.u.
- SG: No. 65
- Theoretical density: 14.34 Mg/m³
- E above lowest polymorph: 0.000 eV/atom
- Electronic total energy: -11.229 eV/atom
- Energy relative to the elements: 27 kJ/mol of formula units

=====

# 10
A plane-wave DFT calculation with GGA-PBE was carried out for a geometry-optimized Hf2CoSe structure.

a b c (Å): 7.016 7.016 5.809
angles (deg): 52.86 52.86 90.00
Positions (direct):
Hf: 0.602 0.125 0.250
Hf: 0.375 0.398 0.750
Hf: 0.148 0.625 0.250
Hf: 0.875 0.852 0.750
Co: 0.250 0.750 0.500
Co: 0.500 0.500 0.000
Se: 0.750 0.250 0.500
Se: 0.000 0.000 0.000

Output
- Fermi-level density of states: 5.71 states/eV per cell
- Total moment: 0.00 μB/f.u.
- SG: No. 122
- Theoretical density: 11.05 Mg/m³
- Electronic total energy: -7.847 eV/atom

=====

# 11
A plane-wave DFT calculation with GGA-PBE was carried out for a geometry-optimized YMgScCu structure.

a b c (Å): 3.392 3.392 7.796
angles (deg): 90.00 90.00 90.00
Positions (direct):
Cu: 0.000 0.000 0.543
Sc: 0.500 0.500 0.365
Mg: 0.000 0.000 0.091
Y: 0.500 0.500 0.786

Output
- Fermi-level density of states: 3.54 states/eV per cell
- Total moment: 0.00 μB/f.u.
- SG: No. 99
- Theoretical density: 4.10 Mg/m³
- Electronic total energy: -4.772 eV/atom
- Energy relative to the elements: -58 kJ/mol of formula units

=====

# 12
A plane-wave DFT calculation with GGA-PBE was carried out for a geometry-optimized TlMoRh2 structure.

a b c (Å): 4.539 4.539 4.539
angles (deg): 60.00 60.00 60.00
Positions (direct):
Rh: 0.250 0.250 0.250
Rh: 0.000 0.000 0.000
Tl: 0.750 0.750 0.750
Mo: 0.500 0.500 0.500

Output
- Fermi-level density of states: 5.76 states/eV per cell
- Total moment: 0.00 μB/f.u.
- SG: No. 216
- Theoretical density: 12.71 Mg/m³
- E above lowest polymorph: 0.405 eV/atom
- Electronic total energy: -6.576 eV/atom
- Energy relative to the elements: 154 kJ/mol of formula units

=====

# 13
A plane-wave DFT calculation with GGA-PBE was carried out for a geometry-optimized Re2MoPb structure.

a b c (Å): 5.012 5.012 4.943
angles (deg): 78.15 78.15 35.34
Positions (direct):
Mo: 0.250 0.250 0.250
Re: 0.983 0.983 0.046
Re: 0.517 0.517 0.454
Pb: 0.750 0.750 0.750

Output
- Fermi-level density of states: 3.16 states/eV per cell
- Total moment: 0.00 μB/f.u.
- SG: No. 12
- Theoretical density: 16.00 Mg/m³
- Electronic total energy: -9.175 eV/atom
- Energy relative to the elements: 264 kJ/mol of formula units

=====

# 14
A plane-wave DFT calculation with GGA-PBE was carried out for a geometry-optimized Tl2AuI2Br2 structure.

a b c (Å): 6.122 6.705 7.964
angles (deg): 60.92 63.05 80.50
Positions (direct):
I: 0.556 0.734 0.999
I: 0.444 0.266 0.001
Tl: 0.178 0.678 0.646
Tl: 0.822 0.322 0.354
Br: 0.803 0.802 0.394
Br: 0.197 0.198 0.606
Au: 0.000 0.000 0.000

Output
- Fermi-level density of states: 1.54 states/eV per cell
- Total moment: 0.00 μB/f.u.
- SG: No. 2
- Theoretical density: 6.66 Mg/m³
- Electronic total energy: -2.469 eV/atom

=====

# 15
A plane-wave DFT calculation with GGA-PBE was carried out for a geometry-optimized Tm4CdHg7 structure.

a b c (Å): 5.324 9.591 6.927
angles (deg): 79.00 67.40 73.89
Positions (direct):
Hg: 0.199 0.084 0.517
Hg: 0.640 0.463 0.257
Hg: 0.500 0.000 0.000
Hg: 0.801 0.916 0.483
Hg: 0.928 0.346 0.798
Hg: 0.072 0.654 0.202
Hg: 0.360 0.537 0.743
Cd: 0.000 0.000 0.000
Tm: 0.580 0.224 0.615
Tm: 0.420 0.776 0.385
Tm: 0.266 0.319 0.150
Tm: 0.734 0.681 0.850

Output
- Fermi-level density of states: 6.05 states/eV per cell
- Total moment: 0.00 μB/f.u.
- SG: No. 12
- Theoretical density: 11.66 Mg/m³
- Electronic total energy: -1.988 eV/atom
- Energy relative to the elements: -284 kJ/mol of formula units

=====

# 16
A plane-wave DFT calculation with GGA-PBE was carried out for a geometry-optimized MgPd5Au structure.

a b c (Å): 3.938 3.938 7.674
angles (deg): 90.00 90.00 90.00
Positions (direct):
Au: 0.000 0.000 0.500
Pd: 0.500 0.000 0.231
Pd: 0.500 0.500 0.500
Pd: 0.000 0.500 0.769
Pd: 0.000 0.500 0.231
Pd: 0.500 0.000 0.769
Mg: 0.500 0.500 0.000

Output
- Fermi-level density of states: 8.05 states/eV per cell
- Total moment: 0.00 μB/f.u.
- SG: No. 123
- Theoretical density: 10.51 Mg/m³
- E above lowest polymorph: 0.000 eV/atom
- Electronic total energy: -4.518 eV/atom
- Energy relative to the elements: -76 kJ/mol of formula units

=====

# 17
A plane-wave DFT calculation with GGA-PBE was carried out for a geometry-optimized TiMn3Se structure.

a b c (Å): 4.252 4.252 4.252
angles (deg): 90.00 90.00 90.00
Positions (direct):
Se: 0.000 0.000 0.000
Ti: 0.500 0.500 0.500
Mn: 0.000 0.000 0.500
Mn: 0.500 0.000 0.000
Mn: 0.000 0.500 0.000

Output
- Fermi-level density of states: 6.60 states/eV per cell
- Total moment: 0.00 μB/f.u.
- SG: No. 221
- Theoretical density: 6.30 Mg/m³
- E above lowest polymorph: 0.000 eV/atom
- Electronic total energy: -7.025 eV/atom

=====

# 18
A plane-wave DFT calculation with GGA-PBE was carried out for a geometry-optimized NaSr8Ni2 structure.

a b c (Å): 7.149 7.696 9.581
angles (deg): 113.68 81.54 90.00
Positions (direct):
Sr: 0.094 0.205 0.410
Sr: 0.616 0.392 0.285
Sr: 0.384 0.107 0.715
Sr: 0.906 0.795 0.590
Sr: 0.824 0.423 0.845
Sr: 0.176 0.577 0.155
Sr: 0.616 0.893 0.285
Sr: 0.384 0.608 0.715
Ni: 0.321 0.727 0.454
Ni: 0.679 0.273 0.546
Na: 0.000 0.000 0.000

Output
- Fermi-level density of states: 8.44 states/eV per cell
- Total moment: 0.00 μB/f.u.
- SG: No. 12
- Theoretical density: 2.93 Mg/m³
- Electronic total energy: -2.351 eV/atom
- Energy relative to the elements: 46 kJ/mol of formula units

=====

# 19
A plane-wave DFT calculation with GGA-PBE was carried out for a geometry-optimized Zn2CrMo structure.

a b c (Å): 4.628 4.628 4.911
angles (deg): 85.18 85.18 32.46
Positions (direct):
Zn: 0.752 0.752 0.762
Zn: 0.001 0.001 0.984
Mo: 0.252 0.252 0.270
Cr: 0.495 0.495 0.484

Output
- Fermi-level density of states: 1.99 states/eV per cell
- Total moment: 0.00 μB/f.u.
- SG: No. 8
- Theoretical density: 8.23 Mg/m³
- E above lowest polymorph: 0.074 eV/atom
- Electronic total energy: -5.543 eV/atom
- Energy relative to the elements: 80 kJ/mol of formula units

=====

# 20
A plane-wave DFT calculation with GGA-PBE was carried out for a geometry-optimized LiCa2La structure.

a b c (Å): 7.008 7.008 6.061
angles (deg): 64.63 64.63 32.14
Positions (direct):
La: 0.750 0.750 0.750
Ca: 0.534 0.534 0.466
Ca: 0.966 0.966 0.034
Li: 0.250 0.250 0.250

Output
- Fermi-level density of states: 6.60 states/eV per cell
- Total moment: 0.24 μB/f.u.
- SG: No. 12
- Theoretical density: 2.65 Mg/m³
- E above lowest polymorph: 0.035 eV/atom
- Electronic total energy: -2.603 eV/atom
- Energy relative to the elements: 42 kJ/mol of formula units

=====

# 21
A plane-wave DFT calculation with GGA-PBE was carried out for a geometry-optimized Ac4Pr3YS8 structure.

a b c (Å): 8.353 8.381 8.353
angles (deg): 119.89 120.00 90.00
Positions (direct):
S: 0.761 0.268 0.521
S: 0.254 0.262 0.508
S: 0.746 0.738 0.492
S: 0.247 0.268 0.008
S: 0.239 0.732 0.992
S: 0.761 0.268 0.008
S: 0.239 0.732 0.479
S: 0.753 0.732 0.992
Pr: 0.500 0.500 0.000
Pr: 0.500 0.500 0.500
Pr: 0.000 0.500 0.500
Ac: 0.000 0.000 0.000
Ac: 0.000 0.000 0.500
Ac: 0.500 0.000 0.500
Ac: 0.500 0.000 0.000
Y: 0.000 0.500 0.000

Output
- Fermi-level density of states: 7.44 states/eV per cell
- Total moment: 0.00 μB/f.u.
- SG: No. 166
- Theoretical density: 6.72 Mg/m³
- Electronic total energy: -6.391 eV/atom

=====

# 22
A plane-wave DFT calculation with GGA-PBE was carried out for a geometry-optimized KTeIr2 structure.

a b c (Å): 3.853 2.903 8.459
angles (deg): 80.22 90.00 90.00
Positions (direct):
Ir: 0.000 0.786 0.056
Ir: 0.500 0.229 0.170
Te: 0.500 0.910 0.804
K: 0.000 0.576 0.470

Output
- Fermi-level density of states: 4.12 states/eV per cell
- Total moment: 0.00 μB/f.u.
- SG: No. 6
- Theoretical density: 9.81 Mg/m³
- Electronic total energy: -5.239 eV/atom

=====

# 23
A plane-wave DFT calculation with GGA-PBE was carried out for a geometry-optimized LiLa3Te4 structure.

a b c (Å): 6.439 6.439 6.439
angles (deg): 90.00 90.00 90.00
Positions (direct):
Te: 0.500 0.000 0.000
Te: 0.500 0.500 0.500
Te: 0.000 0.500 0.000
Te: 0.000 0.000 0.500
La: 0.500 0.000 0.500
La: 0.000 0.500 0.500
La: 0.500 0.500 0.000
Li: 0.000 0.000 0.000

Output
- Fermi-level density of states: 3.22 states/eV per cell
- Total moment: 0.00 μB/f.u.
- SG: No. 221
- Theoretical density: 5.81 Mg/m³
- Electronic total energy: -5.154 eV/atom

=====

# 24
A plane-wave DFT calculation with GGA-PBE was carried out for a geometry-optimized Ca2InSn3Pt4 structure.

a b c (Å): 4.500 4.500 11.218
angles (deg): 90.00 90.00 90.00
Positions (direct):
Pt: 0.500 0.000 0.638
Pt: 0.500 0.500 0.000
Pt: 0.000 0.500 0.362
Pt: 0.000 0.000 0.000
Sn: 0.000 0.000 0.500
Sn: 0.500 0.000 0.870
Sn: 0.000 0.500 0.130
Ca: 0.000 0.500 0.756
Ca: 0.500 0.000 0.244
In: 0.500 0.500 0.500

Output
- Fermi-level density of states: 3.46 states/eV per cell
- Total moment: 0.00 μB/f.u.
- SG: No. 115
- Theoretical density: 9.73 Mg/m³
- Electronic total energy: -5.024 eV/atom
- Energy relative to the elements: -707 kJ/mol of formula units